Run P
Compound: Sn2NCl
Source: Alexandria
Functional: PBE-GGA
Structure: optimized geometry

Geometry as extended XYZ:
```
16
Lattice="6.828 0.000 0.000 0.000 6.828 0.000 0.000 0.000 6.828" Properties=species:S:1:pos:R:3 pbc="T T T"
Sn 1.707 1.707 1.707
Sn 1.707 1.707 5.121
Sn 1.707 5.121 1.707
Sn 1.707 5.121 5.121
Sn 5.121 1.707 1.707
Sn 5.121 1.707 5.121
Sn 5.121 5.121 1.707
Sn 5.121 5.121 5.121
N 0.000 0.000 0.000
N 0.000 3.414 3.414
N 3.414 0.000 3.414
N 3.414 3.414 0.000
Cl 0.000 0.000 3.414
Cl 0.000 3.414 0.000
Cl 3.414 0.000 0.000
Cl 3.414 3.414 3.414
```

Computed properties:
- Density of states at the Fermi level: 5.6 states/eV per cell
- Total moment: 0.00 μB/cell
- Symmetry: No. 225



Run Q
Compound: Sn2NCl
Source: Alexandria
Functional: PBE-GGA
Structure: optimized geometry

Geometry as extended XYZ:
```
16
Lattice="7.175 0.000 0.000 0.000 7.175 0.000 0.000 0.000 7.078" Properties=species:S:1:pos:R:3 pbc="T T T"
Sn 1.109 1.794 0.885
Sn 1.794 4.697 2.654
Sn 1.794 6.066 6.193
Sn 2.478 1.794 4.424
Sn 4.697 5.381 4.424
Sn 5.381 1.109 6.193
Sn 5.381 2.478 2.654
Sn 6.066 5.381 0.885
N 0.000 0.000 0.000
N 0.000 3.587 1.770
N 3.587 0.000 5.309
N 3.587 3.587 3.539
Cl 0.000 0.000 3.539
Cl 0.000 3.587 5.309
Cl 3.587 0.000 1.770
Cl 3.587 3.587 0.000
```

Computed properties:
- Density of states at the Fermi level: 0.1 states/eV per cell
- Total moment: 0.00 μB/cell
- Symmetry: No. 122



Relative energies, unit kJ/mol of atoms: run P 55.9; run Q 0.0



Run P
Compound: SnTeN2Cl
Source: Alexandria
Functional: PBE-GGA
Structure: optimized geometry

Geometry as extended XYZ:
```
5
Lattice="4.172 0.000 0.000 0.000 4.172 0.000 0.000 0.000 6.327" Properties=species:S:1:pos:R:3 pbc="T T T"
Sn 0.000 0.000 0.000
Te 0.000 0.000 3.164
N 0.000 2.086 0.000
N 2.086 0.000 0.000
Cl 2.086 2.086 3.164
```

Computed properties:
- Density of states at the Fermi level: 3.8 states/eV per cell
- Total moment: 2.59 μB/cell
- Symmetry: No. 123



Run Q
Compound: SnTeN2Cl
Source: Alexandria
Functional: PBE-GGA
Structure: optimized geometry

Geometry as extended XYZ:
```
5
Lattice="4.330 0.000 0.000 0.000 4.330 0.000 0.000 0.000 5.376" Properties=species:S:1:pos:R:3 pbc="T T T"
Sn 0.000 0.000 0.000
Te 2.165 2.165 0.000
N 0.000 2.165 2.688
N 2.165 0.000 2.688
Cl 2.165 2.165 2.688
```

Computed properties:
- Density of states at the Fermi level: 2.1 states/eV per cell
- Total moment: 2.28 μB/cell
- Symmetry: No. 123



Relative energies, unit kJ/mol of atoms: run P 0.0; run Q 70.0



Run P
Compound: SrTeN2Cl
Source: Alexandria
Functional: PBE-GGA
Structure: optimized geometry

Geometry as extended XYZ:
```
5
Lattice="4.492 0.000 0.000 0.000 4.492 0.000 0.000 0.000 5.471" Properties=species:S:1:pos:R:3 pbc="T T T"
Sr 0.000 0.000 0.000
Te 2.246 2.246 0.000
N 0.000 2.246 2.735
N 2.246 0.000 2.735
Cl 2.246 2.246 2.735
```

Computed properties:
- Density of states at the Fermi level: 3.5 states/eV per cell
- Total moment: 2.46 μB/cell
- Symmetry: No. 123



Run Q
Compound: SrTeN2Cl
Source: Alexandria
Functional: PBE-GGA
Structure: optimized geometry

Geometry as extended XYZ:
```
5
Lattice="4.879 0.000 0.000 0.000 4.879 0.000 0.000 0.000 6.889" Properties=species:S:1:pos:R:3 pbc="T T T"
Sr 0.000 0.000 0.000
Te 0.000 0.000 3.444
N 0.000 2.440 0.000
N 2.440 0.000 0.000
Cl 2.440 2.440 3.444
```

Computed properties:
- Density of states at the Fermi level: 2.9 states/eV per cell
- Total moment: 4.46 μB/cell
- Symmetry: No. 123



Relative energies, unit kJ/mol of atoms: run P 6.2; run Q 0.0



Run P
Compound: TaTe2NCl
Source: Alexandria
Functional: PBE-GGA
Structure: optimized geometry

Geometry as extended XYZ:
```
5
Lattice="5.554 0.000 0.000 0.000 5.554 0.000 0.000 0.000 3.918" Properties=species:S:1:pos:R:3 pbc="T T T"
Ta 0.000 0.000 0.000
Te 0.000 2.777 0.000
Te 2.777 0.000 0.000
N 0.000 0.000 1.959
Cl 2.777 2.777 1.959
```

Computed properties:
- Density of states at the Fermi level: 4.3 states/eV per cell
- Total moment: 0.00 μB/cell
- Symmetry: No. 123



Run Q
Compound: TaTe2NCl
Source: Alexandria
Functional: PBE-GGA
Structure: optimized geometry

Geometry as extended XYZ:
```
5
Lattice="5.488 0.000 0.000 0.000 5.488 0.000 0.000 0.000 3.361" Properties=species:S:1:pos:R:3 pbc="T T T"
Ta 0.000 0.000 0.000
Te 0.000 2.744 1.681
Te 2.744 0.000 1.681
N 2.744 2.744 0.000
Cl 2.744 2.744 1.681
```

Computed properties:
- Density of states at the Fermi level: 4.2 states/eV per cell
- Total moment: 0.00 μB/cell
- Symmetry: No. 123



Relative energies, unit kJ/mol of atoms: run P 0.0; run Q 139.6



Run P
Compound: TcN2Cl6
Source: Alexandria
Functional: PBE-GGA
Structure: optimized geometry

Geometry as extended XYZ:
```
9
Lattice="6.706 0.000 0.000 -2.866 6.341 0.000 -0.092 -2.925 6.808" Properties=species:S:1:pos:R:3 pbc="T T T"
Tc 0.000 0.000 0.000
N 0.931 0.637 1.190
N 0.541 5.078 2.546
Cl -1.489 1.936 5.745
Cl 0.290 -1.501 5.021
Cl 0.097 3.590 3.183
Cl 3.892 -0.188 3.738
Cl 2.927 4.467 1.004
Cl 4.679 1.053 0.296
```

Computed properties:
- Density of states at the Fermi level: 2.9 states/eV per cell
- Total moment: 1.03 μB/cell
- Symmetry: No. 1



Run Q
Compound: TcN2Cl6
Source: Alexandria
Functional: PBE-GGA
Structure: optimized geometry

Geometry as extended XYZ:
```
9
Lattice="0.000 4.986 4.986 4.986 0.000 4.986 4.986 4.986 0.000" Properties=species:S:1:pos:R:3 pbc="T T T"
Tc 0.000 0.000 0.000
N 2.493 2.493 2.493
N 7.479 7.479 7.479
Cl 4.986 4.986 2.303
Cl 4.986 2.303 4.986
Cl 7.668 4.986 4.986
Cl 2.303 4.986 4.986
Cl 4.986 7.668 4.986
Cl 4.986 4.986 7.668
```

Computed properties:
- Density of states at the Fermi level: 6.4 states/eV per cell
- Total moment: 7.03 μB/cell
- Symmetry: No. 225



Relative energies, unit kJ/mol of atoms: run P 0.0; run Q 75.1



Run P
Compound: TeNCl2
Source: Alexandria
Functional: PBE-GGA
Structure: optimized geometry

Geometry as extended XYZ:
```
16
Lattice="6.318 0.000 0.000 0.000 6.318 0.000 0.000 0.000 8.990" Properties=species:S:1:pos:R:3 pbc="T T T"
Te 0.000 1.580 3.371
Te 0.000 4.739 5.619
Te 3.159 1.580 1.124
Te 3.159 4.739 7.866
N 0.000 1.580 7.866
N 0.000 4.739 1.124
N 3.159 1.580 5.619
N 3.159 4.739 3.371
Cl 0.000 0.000 0.000
Cl 0.000 3.159 0.000
Cl 1.580 1.580 6.742
Cl 1.580 4.739 2.247
Cl 3.159 0.000 4.495
Cl 3.159 3.159 4.495
Cl 4.739 1.580 6.742
Cl 4.739 4.739 2.247
```

Computed properties:
- Density of states at the Fermi level: 11.7 states/eV per cell
- Total moment: 0.00 μB/cell
- Symmetry: No. 141



Run Q
Compound: TeNCl2
Source: Alexandria
Functional: PBE-GGA
Structure: optimized geometry

Geometry as extended XYZ:
```
12
Lattice="3.471 0.000 0.000 -1.736 3.006 0.000 0.000 0.000 26.210" Properties=species:S:1:pos:R:3 pbc="T T T"
Te 0.000 0.000 0.000
Te 0.000 2.004 17.473
Te 1.736 1.002 8.736
N 0.000 0.000 13.105
N 0.000 2.004 4.368
N 1.736 1.002 21.841
Cl 0.000 0.000 11.146
Cl 0.000 0.000 15.064
Cl 0.000 2.004 2.409
Cl 0.000 2.004 6.327
Cl 1.736 1.002 19.882
Cl 1.736 1.002 23.800
```

Computed properties:
- Density of states at the Fermi level: 7.0 states/eV per cell
- Total moment: 4.32 μB/cell
- Symmetry: No. 166



Run R
Compound: TeNCl2
Source: Alexandria
Functional: PBE-GGA
Structure: optimized geometry

Geometry as extended XYZ:
```
16
Lattice="14.541 0.000 0.000 0.000 4.244 0.000 -0.103 0.000 7.846" Properties=species:S:1:pos:R:3 pbc="T T T"
Te 1.839 0.000 1.992
Te 5.329 2.122 5.854
Te 9.109 2.122 1.992
Te 12.599 0.000 5.854
N -0.033 0.000 5.885
N 7.201 2.122 1.961
N 7.237 2.122 5.885
N 14.471 0.000 1.961
Cl 1.930 2.122 3.702
Cl 1.984 2.122 0.291
Cl 5.184 0.000 7.555
Cl 5.237 0.000 4.144
Cl 9.201 0.000 3.702
Cl 9.254 0.000 0.291
Cl 12.454 2.122 7.555
Cl 12.508 2.122 4.144
```

Computed properties:
- Density of states at the Fermi level: 0.2 states/eV per cell
- Total moment: 4.00 μB/cell
- Symmetry: No. 12



Relative energies, unit kJ/mol of atoms: run P 52.1; run Q 62.0; run R 0.0



Run P
Compound: TeNCl2
Source: Alexandria
Functional: PBE-GGA
Structure: optimized geometry

Geometry as extended XYZ:
```
16
Lattice="6.900 0.000 0.000 0.000 6.900 0.000 0.000 0.000 6.900" Properties=species:S:1:pos:R:3 pbc="T T T"
Te 0.000 0.000 0.000
Te 0.000 3.450 3.450
Te 3.450 0.000 3.450
Te 3.450 3.450 0.000
N 0.000 0.000 3.450
N 0.000 3.450 0.000
N 3.450 0.000 0.000
N 3.450 3.450 3.450
Cl 1.725 1.725 1.725
Cl 1.725 1.725 5.175
Cl 1.725 5.175 1.725
Cl 1.725 5.175 5.175
Cl 5.175 1.725 1.725
Cl 5.175 1.725 5.175
Cl 5.175 5.175 1.725
Cl 5.175 5.175 5.175
```

Computed properties:
- Density of states at the Fermi level: 12.1 states/eV per cell
- Total moment: 5.79 μB/cell
- Symmetry: No. 225



Run Q
Compound: TeNCl2
Source: Alexandria
Functional: PBE-GGA
Structure: optimized geometry

Geometry as extended XYZ:
```
12
Lattice="3.589 0.000 0.000 -1.794 3.108 0.000 0.000 0.000 32.253" Properties=species:S:1:pos:R:3 pbc="T T T"
Te 0.000 0.000 0.000
Te 0.000 2.072 21.502
Te 1.794 1.036 10.751
N 0.000 0.000 16.127
N 0.000 2.072 5.376
N 1.794 1.036 26.878
Cl 0.000 0.000 2.437
Cl 0.000 0.000 29.816
Cl 0.000 2.072 19.065
Cl 0.000 2.072 23.940
Cl 1.794 1.036 8.314
Cl 1.794 1.036 13.189
```

Computed properties:
- Density of states at the Fermi level: 2.8 states/eV per cell
- Total moment: 8.94 μB/cell
- Symmetry: No. 166



Relative energies, unit kJ/mol of atoms: run P 26.9; run Q 0.0



Run P
Compound: TeNCl3
Source: Alexandria
Functional: PBE-GGA
Structure: optimized geometry

Geometry as extended XYZ:
```
5
Lattice="4.547 0.000 0.000 0.000 4.547 0.000 0.000 0.000 4.547" Properties=species:S:1:pos:R:3 pbc="T T T"
Te 0.000 0.000 0.000
N 2.274 2.274 2.274
Cl 0.000 2.274 2.274
Cl 2.274 0.000 2.274
Cl 2.274 2.274 0.000
```

Computed properties:
- Density of states at the Fermi level: 3.2 states/eV per cell
- Total moment: 0.00 μB/cell
- Symmetry: No. 221



Run Q
Compound: TeNCl3
Source: Alexandria
Functional: PBE-GGA
Structure: optimized geometry

Geometry as extended XYZ:
```
10
Lattice="5.355 0.000 0.000 0.011 8.392 0.000 2.587 0.798 7.986" Properties=species:S:1:pos:R:3 pbc="T T T"
Te 1.292 2.502 3.956
Te 6.660 6.688 4.029
N 3.964 2.998 7.511
N 3.988 6.192 0.475
Cl 1.294 4.380 2.260
Cl 1.309 8.504 2.278
Cl 3.982 6.700 4.062
Cl 3.971 2.490 3.924
Cl 6.643 0.686 5.708
Cl 6.658 4.810 5.726
```

Computed properties:
- Density of states at the Fermi level: 3.2 states/eV per cell
- Total moment: 5.98 μB/cell
- Symmetry: No. 2



Relative energies, unit kJ/mol of atoms: run P 33.5; run Q 0.0